NaUMnO6 | PBE with a Hubbard U | relaxed

The space group is P4_2nm (No. 102) and the conventional cell measures 4.927, 4.927 and 9.558 Å, with angles of 90.00, 90.00 and 90.00 degrees. Symmetry generates all atoms from Na at (0.000, 0.000, 0.000), U at (0.000, 0.000, 0.663), Mn at (0.000, 0.000, 0.330), O at (0.174, 0.174, 0.487), O at (0.201, 0.201, 0.191) and O at (0.222, 0.222, 0.809).

For the volume, the calculation gives 12.9 Å³/atom. The value obtained for the calculated total energy is -67.63 eV per formula unit.